Arrangement A

Here is an optimized crystal structure of TlN from Alexandria via LeMat-Bulk. Energies are from PBE-GGA.

Summary:
V, Å³ per atom: 25.08
Theoretical density, kg/m³: 7229

Unit cell a=10.2415 b=10.2415 c=3.8264 alpha=90.00 beta=90.00 gamma=90.00
Last column: nearest neighbours and their distance in Å.
Atoms (fractional coordinates):
Tl 0.1072 0.3779 0.0000  4 N 2.23-2.40
Tl 0.3701 0.2244 0.5000  3 N 2.22-2.25
Tl 0.6221 0.1072 0.0000  4 N 2.23-2.40
Tl 0.3779 0.8928 0.0000  4 N 2.23-2.40
Tl 0.2244 0.6299 0.5000  3 N 2.22-2.25
Tl 0.6299 0.7756 0.5000  3 N 2.22-2.25
Tl 0.7756 0.3701 0.5000  3 N 2.22-2.25
Tl 0.8928 0.6221 0.0000  4 N 2.23-2.40
N 0.8895 0.3873 0.0000  4 Tl 2.23-2.40
N 0.6134 0.2261 0.5000  3 Tl 2.22-2.27
N 0.6127 0.8895 0.0000  4 Tl 2.23-2.40
N 0.3866 0.7739 0.5000  3 Tl 2.22-2.27
N 0.7739 0.6134 0.5000  3 Tl 2.22-2.27
N 0.3873 0.1105 0.0000  4 Tl 2.23-2.40
N 0.2261 0.3866 0.5000  3 Tl 2.22-2.27
N 0.1105 0.6127 0.0000  4 Tl 2.23-2.40

---

Arrangement B

Here is an optimized crystal structure of TlN from Alexandria via LeMat-Bulk. Energies are from PBE-GGA.

Summary:
V, Å³ per atom: 20.03
Theoretical density, kg/m³: 9052

Unit cell a=3.8015 b=5.5103 c=11.4750 alpha=90.00 beta=90.00 gamma=90.00
Last column: nearest neighbours and their distance in Å.
Atoms (fractional coordinates):
N 0.5000 0.1012 0.8489  4 Tl 2.25-2.32
N 0.0000 0.8988 0.3489  4 Tl 2.25-2.32
N 0.0000 0.6003 0.0000  4 Tl 2.25-2.31
N 0.0000 0.8988 0.6511  4 Tl 2.25-2.32
N 0.5000 0.3997 0.5000  4 Tl 2.25-2.31
N 0.5000 0.1012 0.1511  4 Tl 2.25-2.32
Tl 0.5000 0.3619 0.0000  4 N 2.25-2.31
Tl 0.0000 0.8603 0.1515  4 N 2.25-2.32
Tl 0.0000 0.8603 0.8485  4 N 2.25-2.32
Tl 0.5000 0.1397 0.6515  4 N 2.25-2.32
Tl 0.0000 0.6381 0.5000  4 N 2.25-2.31
Tl 0.5000 0.1397 0.3485  4 N 2.25-2.32

---

arrangement B (64 meV/atom below the next structure)